Crystalline NiIrAu2 at its relaxed geometry, computed with GGA-PBE.

```
NiIrAu2
1.0
4.6407 -1.4047 0.0000
4.6407 1.4047 0.0000
-0.9176 0.0000 4.7678
Ni Ir Au
1 1 2
direct
0.0000 0.0000 0.0000
0.5000 0.5000 0.5000
0.2531 0.2531 0.7544
0.7469 0.7469 0.2456
```

Output
V	15.54	A^3/atom
polymorph energy (0 for the lowest one)	171	meV per atom
formation energy from the elements	126.9	kJ/mol of formula units
D(E_F)	5.14	states/eV per cell